Entry 1:
Entry from the Alexandria database: a relaxed structure of Ho6Te3Pt2Au (GGA-PBE).

Summary:
Total DFT energy (no corrections): -5.557 eV per atom
E_form (uncorrected): -1.20 eV/atom

Geometry as CIF:
```
data_Ho6Te3Pt2Au
_symmetry_space_group_name_H-M 'C 1 2/m 1'
_symmetry_Int_Tables_number 12
_cell_length_a 7.1708
_cell_length_b 12.4243
_cell_length_c 7.7081
_cell_angle_alpha 90.00
_cell_angle_beta 108.05
_cell_angle_gamma 90.00
loop_
_symmetry_equiv_pos_as_xyz
'x,y,z'
'-x,-y,-z'
'-x,y,-z'
'x,-y,z'
'x+1/2,y+1/2,z'
'-x+1/2,-y+1/2,-z'
'-x+1/2,y+1/2,-z'
'x+1/2,-y+1/2,z'
loop_
_atom_site_label
_atom_site_type_symbol
_atom_site_fract_x
_atom_site_fract_y
_atom_site_fract_z
_atom_site_occupancy
Ho1 Ho 0.2235 0.0000 0.2138 1
Ho2 Ho 0.2465 0.3264 0.2177 1
Te1 Te 0.0000 0.0000 0.5000 1
Te2 Te 0.0000 0.3378 0.5000 1
Pt1 Pt 0.0000 0.1677 0.0000 1
Au1 Au 0.0000 0.5000 0.0000 1
```

***

Entry 2:
Entry from the Alexandria database: a relaxed structure of HoTlPtAu (GGA-PBE).

Summary:
Total DFT energy (no corrections): -4.687 eV per atom

Geometry as CIF:
```
data_HoTlPtAu
_symmetry_space_group_name_H-M 'F -4 3 m'
_symmetry_Int_Tables_number 216
_symmetry_space_group_name_Hall 'F -4 2 3'
_cell_length_a 6.9524
_cell_length_b 6.9524
_cell_length_c 6.9524
_cell_angle_alpha 90.00
_cell_angle_beta 90.00
_cell_angle_gamma 90.00
loop_
_atom_site_label
_atom_site_type_symbol
_atom_site_fract_x
_atom_site_fract_y
_atom_site_fract_z
_atom_site_occupancy
Ho1 Ho 0.0000 0.0000 0.0000 1
Tl1 Tl 0.0000 0.0000 0.5000 1
Pt1 Pt 0.2500 0.2500 0.7500 1
Au1 Au 0.2500 0.2500 0.2500 1
```

***

Entry 3:
Entry from the Alexandria database: a relaxed structure of HoTmPtAu (GGA-PBE).

Summary:
Total DFT energy (no corrections): -5.703 eV per atom

Geometry as CIF:
```
data_HoTmPtAu
_symmetry_space_group_name_H-M 'A m m 2'
_symmetry_Int_Tables_number 38
_cell_length_a 4.5597
_cell_length_b 3.7176
_cell_length_c 10.6411
_cell_angle_alpha 90.00
_cell_angle_beta 90.00
_cell_angle_gamma 90.00
loop_
_symmetry_equiv_pos_as_xyz
'x,y,z'
'-x,-y,z'
'-x,y,z'
'x,-y,z'
'x,y+1/2,z+1/2'
'-x,-y+1/2,z+1/2'
'-x,y+1/2,z+1/2'
'x,-y+1/2,z+1/2'
loop_
_atom_site_label
_atom_site_type_symbol
_atom_site_fract_x
_atom_site_fract_y
_atom_site_fract_z
_atom_site_occupancy
Ho1 Ho 0.0000 0.0000 0.0000 1
Tm1 Tm 0.5000 0.0000 0.7235 1
Pt1 Pt 0.5000 0.0000 0.4520 1
Au1 Au 0.0000 0.0000 0.2740 1
```